(1)
Density functional theory data (PBE-GGA) for a relaxed SiNi crystal.

Calculated values
For the total energy, the calculation gives -5.99 eV per atom. The space-group type is Pmmn (59). Its total magnetization is 0.0 Bohr magnetons per cell. For the formation energy (no corrections), the calculation gives -0.389 eV/atom.

a b c (Å): 2.704 4.304 3.995
angles (deg): 90.00 90.00 90.00
Positions (direct):
Si1 0.250 0.250 0.117
Si2 0.750 0.750 0.883
Ni1 0.250 0.750 0.373
Ni2 0.750 0.250 0.627



(2)
Density functional theory data (PBE-GGA) for a relaxed NaRhBr2O crystal.

Calculated values
For the total energy, the calculation gives -4.14 eV per atom. The space-group type is P4/mmm (123). Its total magnetization is 0.3 Bohr magnetons per cell. For the formation energy (no corrections), the calculation gives -0.744 eV/atom.

a b c (Å): 5.379 5.379 3.750
angles (deg): 90.00 90.00 90.00
Positions (direct):
Na1 0.000 0.000 0.000
Rh1 0.500 0.500 0.500
Br1 0.000 0.500 0.500
Br2 0.500 0.000 0.500
O1 0.500 0.500 0.000



(3)
Density functional theory data (PBE-GGA) for a relaxed Ca2TmCuS4 crystal.

Calculated values
For the total energy, the calculation gives -5.27 eV per atom. The space-group type is P2/m (10). Its total magnetization is 0.0 Bohr magnetons per cell. For the formation energy (no corrections), the calculation gives -1.640 eV/atom.

a b c (Å): 6.760 3.917 6.792
angles (deg): 90.00 110.41 90.00
Positions (direct):
Ca1 0.000 0.000 0.000
Ca2 0.500 0.500 0.000
Tm1 0.000 0.500 0.500
Cu1 0.500 0.000 0.500
S1 0.241 0.000 0.742
S2 0.261 0.500 0.274
S3 0.739 0.500 0.726
S4 0.759 0.000 0.258



(4)
Density functional theory data (PBE-GGA) for a relaxed PdWCl2 crystal.

Calculated values
For the total energy, the calculation gives -4.58 eV per atom. The calculation puts the energy relative to the lowest polymorph listed for this composition at 65.2 kJ/mol of atoms. The space-group type is Fm-3m (225). Its total magnetization is 2.8 Bohr magnetons per cell. For the formation energy (no corrections), the calculation gives 0.875 eV/atom.

a b c (Å): 6.315 6.315 6.315
angles (deg): 90.00 90.00 90.00
Positions (direct):
Pd1 0.000 0.000 0.000
Pd2 0.000 0.500 0.500
Pd3 0.500 0.000 0.500
Pd4 0.500 0.500 0.000
W1 0.000 0.000 0.500
W2 0.000 0.500 0.000
W3 0.500 0.000 0.000
W4 0.500 0.500 0.500
Cl1 0.250 0.250 0.250
Cl2 0.250 0.250 0.750
Cl3 0.250 0.750 0.250
Cl4 0.250 0.750 0.750
Cl5 0.750 0.250 0.250
Cl6 0.750 0.250 0.750
Cl7 0.750 0.750 0.250
Cl8 0.750 0.750 0.750



(5)
Density functional theory data (PBE-GGA) for a relaxed ScCdN2F crystal.

Calculated values
For the total energy, the calculation gives -4.87 eV per atom. The calculation puts the energy relative to the lowest polymorph listed for this composition at 68.6 kJ/mol of atoms. The space-group type is P4/mmm (123). Its total magnetization is 0.0 Bohr magnetons per cell. For the formation energy (no corrections), the calculation gives 0.284 eV/atom.

a b c (Å): 4.131 4.131 4.183
angles (deg): 90.00 90.00 90.00
Positions (direct):
Sc1 0.000 0.000 0.000
Cd1 0.500 0.500 0.500
N1 0.000 0.500 0.500
N2 0.500 0.000 0.500
F1 0.500 0.500 0.000



(6)
Density functional theory data (PBE-GGA) for a relaxed SrTcHg2 crystal.

Calculated values
For the total energy, the calculation gives -2.78 eV per atom. The calculation puts the energy relative to the lowest polymorph listed for this composition at 9.3 kJ/mol of atoms. The space-group type is P4mm (99). The calculation puts the formation energy at 0.388 eV/atom. Its total magnetization is 0.3 Bohr magnetons per cell.

a b c (Å): 3.751 3.751 7.070
angles (deg): 90.00 90.00 90.00
Positions (direct):
Sr1 0.000 0.000 0.000
Tc1 0.500 0.500 0.313
Hg1 0.000 0.000 0.439
Hg2 0.500 0.500 0.705



(7)
Density functional theory data (PBE-GGA) for a relaxed Zr2CoAu crystal.

Calculated values
For the total energy, the calculation gives -7.10 eV per atom. The calculation puts the energy relative to the lowest polymorph listed for this composition at 15.2 kJ/mol of atoms. The space-group type is R-3m (166). The calculation puts the formation energy at -0.227 eV/atom. Its total magnetization is 0.0 Bohr magnetons per cell.

a b c (Å): 3.492 3.492 22.326
angles (deg): 90.00 90.00 120.00
Positions (direct):
Zr1 0.000 0.000 0.237
Zr2 0.000 0.000 0.763
Zr3 0.333 0.667 0.430
Zr4 0.333 0.667 0.904
Zr5 0.667 0.333 0.096
Zr6 0.667 0.333 0.570
Co1 0.000 0.000 0.500
Co2 0.333 0.667 0.167
Co3 0.667 0.333 0.833
Au1 0.000 0.000 0.000
Au2 0.333 0.667 0.667
Au3 0.667 0.333 0.333



(8)
Density functional theory data (PBE-GGA) for a relaxed Nd6Tl5Au crystal.

Calculated values
For the total energy, the calculation gives -4.07 eV per atom. The space-group type is Cmmm (65). The calculation puts the formation energy at -0.429 eV/atom. Its total magnetization is 1.3 Bohr magnetons per cell.

a b c (Å): 8.658 8.658 7.815
angles (deg): 90.00 90.00 143.19
Positions (direct):
Nd1 0.000 0.000 0.240
Nd2 0.000 0.000 0.760
Nd3 0.339 0.661 0.245
Nd4 0.339 0.661 0.755
Nd5 0.661 0.339 0.245
Nd6 0.661 0.339 0.755
Tl1 0.168 0.832 0.000
Tl2 0.169 0.831 0.500
Tl3 0.500 0.500 0.500
Tl4 0.831 0.169 0.500
Tl5 0.832 0.168 0.000
Au1 0.500 0.500 0.000